# 1
VASP calculation (PBE) on a geometry-optimized K2MgTl2In structure.

Cell and atoms, written as extended XYZ:
```
12
Lattice="6.915 0.000 0.000 0.000 7.036 0.000 -3.458 -3.518 8.651" Properties=species:S:1:pos:R:3 pbc="T T T"
Tl 5.109 0.000 1.855
Tl 1.806 3.518 1.855
Tl -1.651 3.518 6.796
Tl 1.651 0.000 6.796
Mg 3.458 1.759 0.000
Mg 3.458 5.277 0.000
K 5.271 3.518 2.985
K 1.813 3.518 5.665
K -1.813 0.000 5.665
K 1.644 0.000 2.985
In 0.000 1.759 0.000
In 0.000 5.277 0.000
```

Summary:
symmetry: Ibam
energy of formation: -88 meV per atom
spin magnetization: 0.000 μB/f.u.
mass density: 4.9 g cm⁻³
VASP energy: -1.9648 eV/atom

---

# 2
VASP calculation (PBE) on a geometry-optimized TbHoAs2Rh5 structure.

Cell and atoms, written as extended XYZ:
```
9
Lattice="-2.719 0.610 -3.186 -3.109 -1.680 2.331 -1.926 7.961 3.167" Properties=species:S:1:pos:R:3 pbc="T T T"
As -3.194 0.624 0.033
As -4.560 6.267 2.278
Rh -2.966 4.994 3.487
Rh -2.069 1.287 2.012
Rh -3.877 3.445 1.156
Rh -2.771 6.139 0.728
Rh -1.874 2.431 -0.747
Ho 0.000 0.000 0.000
Tb -0.963 3.980 1.584
```

Summary:
symmetry: P4/mmm
energy of formation: -789 meV per atom
spin magnetization: 0.000 μB/f.u.
mass density: 10.4 g cm⁻³
VASP energy: -6.9298 eV/atom

---

# 3
VASP calculation (PBE) on a geometry-optimized La4Sm2DyTh structure.

Cell and atoms, written as extended XYZ:
```
8
Lattice="-1.949 1.626 -4.515 -6.175 -9.804 -0.864 -4.731 0.076 2.070" Properties=species:S:1:pos:R:3 pbc="T T T"
La -4.683 -0.861 -4.230
La -8.172 -7.241 0.920
La -6.782 -6.476 -2.375
La -6.073 -1.626 -0.934
Dy -5.453 -4.864 0.603
Sm -4.731 0.076 2.070
Sm -3.340 0.851 -1.222
Th -4.062 -4.089 -2.690
```

Summary:
symmetry: Pmmm
energy of formation: 36 meV per atom
spin magnetization: 0.000 μB/f.u.
mass density: 7.5 g cm⁻³
VASP energy: -5.1102 eV/atom

---

# 4
VASP calculation (PBE) on a geometry-optimized Ga2SbBr2 structure.

Cell and atoms, written as extended XYZ:
```
5
Lattice="-4.347 1.391 -2.723 -0.315 -4.912 -2.006 -5.762 -3.429 2.261" Properties=species:S:1:pos:R:3 pbc="T T T"
Br -4.204 -5.051 -1.055
Br -6.220 -1.899 -1.413
Ga -7.154 -4.732 -1.370
Ga -3.271 -2.218 -1.097
Sb 0.000 0.000 0.000
```

Summary:
symmetry: I4/mmm
spin magnetization: 2.966 μB/f.u.
mass density: 4.1 g cm⁻³
formation energy without anion corrections: 0.1166 eV per atom
VASP energy: -2.5878 eV/atom

---

# 5
VASP calculation (PBE) on a geometry-optimized Ti2InPd structure.

Cell and atoms, written as extended XYZ:
```
8
Lattice="4.415 0.000 -1.225 -0.340 4.402 -1.225 -0.329 -0.355 7.386" Properties=species:S:1:pos:R:3 pbc="T T T"
Pd 3.062 0.923 2.469
Pd 0.685 3.124 2.469
Ti 2.471 2.669 0.336
Ti 1.276 1.378 4.601
Ti 2.208 0.000 -0.612
Ti -0.170 2.201 -0.612
In 3.293 3.557 3.300
In 0.454 0.490 1.637
```

Summary:
symmetry: I4/mmm
energy of formation: -334 meV per atom
spin magnetization: 1.455 μB/f.u.
mass density: 7.5 g cm⁻³
VASP energy: -6.2641 eV/atom

---

# 6
VASP calculation (PBE) on a geometry-optimized SrAc2Tb structure.

Cell and atoms, written as extended XYZ:
```
4
Lattice="-2.601 0.704 2.856 -1.997 -2.971 1.612 7.745 -2.212 10.298" Properties=species:S:1:pos:R:3 pbc="T T T"
Sr 1.581 -2.241 7.390
Tb 4.679 -3.723 13.277
Ac 5.612 -1.877 8.273
Ac 0.593 -1.089 3.508
```

Summary:
symmetry: R3m
energy of formation: 68 meV per atom
spin magnetization: 0.000 μB/f.u.
mass density: 6.8 g cm⁻³
VASP energy: -3.5647 eV/atom

---

# 7
VASP calculation (PBE) on a geometry-optimized VHg3Br structure.

Cell and atoms, written as extended XYZ:
```
5
Lattice="5.984 0.000 0.000 0.000 5.984 0.000 0.000 0.000 5.984" Properties=species:S:1:pos:R:3 pbc="T T T"
V 2.992 2.992 2.992
Hg 0.000 0.000 2.992
Hg 0.000 2.992 0.000
Hg 2.992 0.000 0.000
Br 0.000 0.000 0.000
```

Summary:
symmetry: Pm-3m
spin magnetization: 4.251 μB/f.u.
mass density: 5.7 g cm⁻³
formation energy without anion corrections: 1.0254 eV per atom
VASP energy: -1.3140 eV/atom

---

# 8
VASP calculation (PBE) on a geometry-optimized Li2PmS2 structure.

Cell and atoms, written as extended XYZ:
```
5
Lattice="3.927 0.000 0.000 1.964 3.401 0.000 1.964 1.134 7.745" Properties=species:S:1:pos:R:3 pbc="T T T"
Pm 0.000 0.000 0.000
Li 5.891 3.401 5.226
Li 1.964 1.134 2.519
S 3.927 2.267 1.793
S 3.927 2.267 5.952
```

Summary:
symmetry: R-3m
spin magnetization: 0.000 μB/f.u.
mass density: 3.6 g cm⁻³
formation energy without anion corrections: -1.4583 eV per atom
VASP energy: -4.8249 eV/atom

---

# 9
VASP calculation (PBE) on a geometry-optimized TlB2Os structure.

Cell and atoms, written as extended XYZ:
```
8
Lattice="-4.121 4.500 1.792 -4.803 -3.492 -2.276 -4.908 -1.511 3.791" Properties=species:S:1:pos:R:3 pbc="T T T"
B -10.287 0.623 2.989
B -8.229 -1.629 2.092
B -3.371 0.872 1.335
B -5.775 -0.872 0.198
Os -7.086 -2.250 0.637
Os -4.462 0.504 -0.242
Tl -6.745 1.746 2.670
Tl 0.000 0.000 0.000
```

Summary:
symmetry: I4_1/amd
energy of formation: 696 meV per atom
spin magnetization: 0.000 μB/f.u.
mass density: 7.5 g cm⁻³
VASP energy: -6.0415 eV/atom

---

# 10
VASP calculation (PBE) on a geometry-optimized Tb5SmS6 structure.

Cell and atoms, written as extended XYZ:
```
12
Lattice="6.737 0.174 1.029 1.665 5.716 3.334 0.116 0.054 6.834" Properties=species:S:1:pos:R:3 pbc="T T T"
Tb 0.595 1.927 3.383
Tb 1.187 3.843 6.785
Tb 4.201 2.945 2.181
Tb 3.720 1.063 5.650
Tb 4.798 4.881 5.547
S 2.117 1.495 1.105
S 3.306 5.315 7.836
S 5.211 0.629 3.360
S 5.812 2.579 6.699
S 6.285 4.395 3.257
S 2.706 3.365 4.497
Sm 0.000 0.000 0.000
```

Summary:
symmetry: C2/m
spin magnetization: 0.000 μB/f.u.
mass density: 7.3 g cm⁻³
formation energy without anion corrections: -2.0149 eV per atom
VASP energy: -6.4011 eV/atom

---

# 11
VASP calculation (PBE) on a geometry-optimized ScP2Ir structure.

Cell and atoms, written as extended XYZ:
```
4
Lattice="4.413 0.000 0.000 0.000 4.414 0.000 0.000 0.000 3.032" Properties=species:S:1:pos:R:3 pbc="T T T"
Ir 0.000 2.207 1.516
P 2.207 2.207 0.000
P 0.000 0.000 0.000
Sc 2.207 0.000 1.516
```

Summary:
symmetry: P4/mmm
energy of formation: -583 meV per atom
spin magnetization: 0.000 μB/f.u.
mass density: 8.4 g cm⁻³
VASP energy: -7.0860 eV/atom

---

# 12
VASP calculation (PBE) on a geometry-optimized Pm2DyErBi5 structure.

Cell and atoms, written as extended XYZ:
```
9
Lattice="-0.558 5.258 1.253 -2.427 0.882 -4.781 -10.537 -2.292 4.927" Properties=species:S:1:pos:R:3 pbc="T T T"
Er 0.000 0.000 0.000
Pm -9.130 1.408 1.807
Pm -4.392 2.439 -0.408
Bi -6.482 -0.705 0.073
Bi -5.548 1.483 3.090
Bi -7.954 -1.730 3.719
Bi -1.492 3.070 -1.764
Bi -2.583 -0.562 1.208
Dy -5.269 -1.146 2.463
```

Summary:
symmetry: P4/mmm
energy of formation: -78 meV per atom
spin magnetization: 0.000 μB/f.u.
mass density: 7.9 g cm⁻³
VASP energy: -4.3080 eV/atom

---

- mass density of number 6 (SrAc2Tb)?
  6.8 g cm⁻³

---

- Which formula does entry 12 have?
  Pm2DyErBi5